1.
The following is a GGA-PBE calculation of a relaxed structure of Sm2CrNi3P4, from Alexandria via LeMat-Bulk.

a = 3.9998 Å, b = 3.9998 Å, c = 9.3894 Å
α = 90.00°, β = 90.00°, γ = 90.00°
Atoms (fractional coordinates):
Sm 0.0000 0.5000 0.2387
Sm 0.5000 0.0000 0.7613
Cr 0.0000 0.0000 0.5000
Ni 0.0000 0.5000 0.8851
Ni 0.5000 0.0000 0.1149
Ni 0.5000 0.5000 0.5000
P 0.0000 0.0000 0.0000
P 0.0000 0.5000 0.6358
P 0.5000 0.0000 0.3642
P 0.5000 0.5000 0.0000

## Properties
**Volume**: 15.0 Å³ per atom
**Electronic total energy**: -6.720 eV per atom

---

2.
The following is a GGA-PBE calculation of a relaxed structure of CrNi7Sn2P2, from Alexandria via LeMat-Bulk.

a = 3.5630 Å, b = 3.5630 Å, c = 14.2501 Å
α = 97.06°, β = 97.06°, γ = 90.02°
Atoms (fractional coordinates):
Cr 0.0000 0.0000 0.0000
Ni 0.0626 0.5625 0.1293
Ni 0.3115 0.3115 0.6224
Ni 0.4375 0.9374 0.8707
Ni 0.5000 0.5000 0.0000
Ni 0.5625 0.0626 0.1293
Ni 0.6885 0.6885 0.3776
Ni 0.9374 0.4375 0.8707
Sn 0.2104 0.2104 0.4215
Sn 0.7896 0.7896 0.5785
P 0.3908 0.3908 0.7763
P 0.6092 0.6092 0.2237

## Properties
**Volume**: 14.8 Å³ per atom
**Electronic total energy**: -5.931 eV per atom

---

3.
The following is a GGA-PBE calculation of a relaxed structure of SrCr2NiP, from Alexandria via LeMat-Bulk.

a = 5.4158 Å, b = 5.4158 Å, c = 4.5724 Å
α = 90.00°, β = 90.00°, γ = 90.00°
Atoms (fractional coordinates):
Sr 0.0000 0.0000 0.0000
Cr 0.0000 0.5000 0.0000
Cr 0.5000 0.0000 0.0000
Ni 0.0000 0.0000 0.5000
P 0.5000 0.5000 0.5000

## Properties
**Volume**: 26.8 Å³ per atom
**Electronic total energy**: -4.234 eV per atom

---

4.
The following is a GGA-PBE calculation of a relaxed structure of CrNi2TeP, from Alexandria via LeMat-Bulk.

a = 4.4932 Å, b = 4.4932 Å, c = 4.2719 Å
α = 90.00°, β = 90.00°, γ = 90.00°
Atoms (fractional coordinates):
Cr 0.0000 0.0000 0.0000
Ni 0.0000 0.5000 0.0000
Ni 0.5000 0.0000 0.0000
Te 0.5000 0.5000 0.5000
P 0.0000 0.0000 0.5000

## Properties
**Volume**: 17.2 Å³ per atom
**Electronic total energy**: -5.172 eV per atom